[1]
Compound: Ta2TlVFe
Source: Alexandria
Functional: PBE-GGA
Structure: relaxed

POSCAR file:
```
Ta2TlVFe
1.0
4.581 0.000 0.000
0.000 4.581 0.000
0.000 0.000 5.004
Ta Tl V Fe
2 1 1 1
Direct
0.000 0.500 0.000
0.500 0.000 0.000
0.000 0.000 0.500
0.000 0.000 0.000
0.500 0.500 0.500
```

## Properties
- Size of the total moment: 0.0094 μB/atom
- SG: P4/mmm, No. 123
- E_tot: -35.26 eV per formula unit
- Density: 10.644 g/cm³

---

[2]
Compound: TmTaFe10
Source: Alexandria
Functional: PBE-GGA
Structure: relaxed

POSCAR file:
```
TmTaFe10
1.0
3.970 0.000 0.000
0.000 4.816 0.000
0.000 0.000 8.326
Tm Ta Fe
1 1 10
Direct
0.000 0.000 0.000
0.000 0.500 0.500
0.000 0.000 0.342
0.000 0.000 0.658
0.000 0.500 0.178
0.000 0.500 0.822
0.500 0.000 0.500
0.500 0.253 0.258
0.500 0.253 0.742
0.500 0.500 0.000
0.500 0.747 0.258
0.500 0.747 0.742
```

## Properties
- Size of the total moment: 1.4830 μB/atom
- SG: Pmmm, No. 47
- E_tot: -100.83 eV per formula unit
- Density: 9.474 g/cm³

---

[3]
Compound: TmTaFe2
Source: Alexandria
Functional: PBE-GGA
Structure: relaxed

POSCAR file:
```
TmTaFe2
1.0
4.467 0.000 0.000
0.000 4.467 0.000
0.000 0.000 3.105
Tm Ta Fe
1 1 2
Direct
0.000 0.000 0.000
0.500 0.500 0.000
0.000 0.500 0.500
0.500 0.000 0.500
```

## Properties
- Size of the total moment: 0.0134 μB/atom
- SG: P4/mmm, No. 123
- E_tot: -33.19 eV per formula unit
- Density: 12.369 g/cm³

---

[4]
Compound: TmTaFe2
Source: Alexandria
Functional: PBE-GGA
Structure: relaxed

POSCAR file:
```
TmTaFe2
1.0
3.106 0.000 0.000
0.000 3.106 0.000
0.000 0.000 6.530
Tm Ta Fe
1 1 2
Direct
0.000 0.000 0.000
0.000 0.000 0.500
0.500 0.500 0.283
0.500 0.500 0.717
```

## Properties
- Size of the total moment: 0.0900 μB/atom
- SG: P4/mmm, No. 123
- E_tot: -33.60 eV per formula unit
- Density: 12.165 g/cm³

---

[5]
Compound: Tm3TaFe8
Source: Alexandria
Functional: PBE-GGA
Structure: relaxed

POSCAR file:
```
Tm3TaFe8
1.0
2.508 1.448 8.190
-2.508 1.448 8.190
0.000 -2.896 8.190
Tm Ta Fe
3 1 8
Direct
0.000 0.000 0.000
0.126 0.126 0.126
0.624 0.624 0.624
0.500 0.500 0.500
0.061 0.061 0.558
0.061 0.558 0.061
0.069 0.564 0.564
0.313 0.313 0.313
0.558 0.061 0.061
0.564 0.069 0.564
0.564 0.564 0.069
0.813 0.813 0.813
```

## Properties
- Size of the total moment: 1.0691 μB/atom
- SG: R3m, No. 160
- E_tot: -94.70 eV per formula unit
- Density: 10.556 g/cm³

---

[6]
Compound: UTaFe4
Source: Alexandria
Functional: PBE-GGA
Structure: relaxed

POSCAR file:
```
UTaFe4
1.0
0.000 3.466 3.466
3.466 0.000 3.466
3.466 3.466 0.000
U Ta Fe
1 1 4
Direct
0.000 0.000 0.000
0.750 0.750 0.750
0.375 0.375 0.375
0.375 0.375 0.874
0.375 0.874 0.375
0.874 0.375 0.375
```

## Properties
- Size of the total moment: 0.6059 μB/atom
- SG: F-43m, No. 216
- E_tot: -57.09 eV per formula unit
- Density: 12.806 g/cm³

---

[7]
Compound: UTa2Fe
Source: Alexandria
Functional: PBE-GGA
Structure: relaxed

POSCAR file:
```
UTa2Fe
1.0
2.931 0.000 0.000
0.000 2.931 0.000
0.000 0.000 8.032
U Ta Fe
1 2 1
Direct
0.000 0.000 0.000
0.500 0.500 0.299
0.500 0.500 0.701
0.000 0.000 0.500
```

## Properties
- Size of the total moment: 0.0008 μB/atom
- SG: P4/mmm, No. 123
- E_tot: -43.07 eV per formula unit
- Density: 15.785 g/cm³

---

[8]
Compound: TaV4Fe5
Source: Alexandria
Functional: PBE-GGA
Structure: relaxed

POSCAR file:
```
TaV4Fe5
1.0
2.842 0.000 0.000
0.000 2.842 0.000
0.000 0.000 15.214
Ta V Fe
1 4 5
Direct
0.000 0.000 0.000
0.000 0.000 0.210
0.000 0.000 0.404
0.000 0.000 0.596
0.000 0.000 0.790
0.500 0.500 0.125
0.500 0.500 0.308
0.500 0.500 0.500
0.500 0.500 0.692
0.500 0.500 0.875
```

## Properties
- Size of the total moment: 0.1520 μB/atom
- SG: P4/mmm, No. 123
- E_tot: -91.97 eV per formula unit
- Density: 8.974 g/cm³

---

[9]
Compound: TaVFe
Source: Alexandria
Functional: PBE-GGA
Structure: relaxed

POSCAR file:
```
TaVFe
1.0
-1.514 1.514 4.629
1.514 -1.514 4.629
1.514 1.514 -4.629
Ta V Fe
1 1 1
Direct
0.000 0.000 0.000
0.319 0.319 0.000
0.669 0.669 0.000
```

## Properties
- Size of the total moment: 0.1641 μB/atom
- SG: I4mm, No. 107
- E_tot: -29.71 eV per formula unit
- Energy relative to the lowest polymorph listed for this composition: 122 meV per atom
- Density: 11.257 g/cm³

---

[10]
Compound: TaV6Fe2
Source: Alexandria
Functional: PBE-GGA
Structure: relaxed

POSCAR file:
```
TaV6Fe2
1.0
3.990 0.000 0.000
0.000 3.990 0.000
0.000 0.000 7.799
Ta V Fe
1 6 2
Direct
0.000 0.000 0.000
0.000 0.000 0.500
0.000 0.500 0.290
0.000 0.500 0.710
0.500 0.000 0.290
0.500 0.000 0.710
0.500 0.500 0.500
0.500 0.500 0.137
0.500 0.500 0.863
```

## Properties
- Size of the total moment: 0.0000 μB/atom
- SG: P4/mmm, No. 123
- E_tot: -82.69 eV per formula unit
- Density: 8.002 g/cm³

---

[11]
Compound: TaV3Fe
Source: Alexandria
Functional: PBE-GGA
Structure: relaxed

POSCAR file:
```
TaV3Fe
1.0
2.538 -5.726 0.000
2.538 5.726 0.000
0.000 0.000 4.904
Ta V Fe
2 6 2
Direct
0.074 0.926 0.750
0.926 0.074 0.250
0.095 0.411 0.750
0.327 0.673 0.250
0.411 0.095 0.250
0.589 0.905 0.750
0.673 0.327 0.750
0.905 0.589 0.250
0.500 0.500 0.000
0.500 0.500 0.500
```

## Properties
- Size of the total moment: 0.1103 μB/atom
- SG: Cmcm, No. 63
- E_tot: -46.93 eV per formula unit
- Energy relative to the lowest polymorph listed for this composition: 0 meV per atom
- Density: 9.080 g/cm³

---

[12]
Compound: Ta2V4Fe
Source: Alexandria
Functional: PBE-GGA
Structure: relaxed

POSCAR file:
```
Ta2V4Fe
1.0
-2.114 2.114 6.523
2.114 -2.114 6.523
2.114 2.114 -6.523
Ta V Fe
2 4 1
Direct
0.129 0.129 0.000
0.871 0.871 0.000
0.000 0.500 0.500
0.325 0.325 0.000
0.500 0.000 0.500
0.675 0.675 0.000
0.500 0.500 0.000
```

## Properties
- Size of the total moment: 0.0000 μB/atom
- SG: I4/mmm, No. 139
- E_tot: -62.62 eV per formula unit
- Density: 8.854 g/cm³

---

[13]
Compound: TaV6Fe4
Source: Alexandria
Functional: PBE-GGA
Structure: relaxed

POSCAR file:
```
TaV6Fe4
1.0
-2.881 2.881 4.593
2.881 -2.881 4.593
2.881 2.881 -4.593
Ta V Fe
1 6 4
Direct
0.000 0.000 0.000
0.000 0.500 0.500
0.084 0.084 0.610
0.474 0.474 0.390
0.500 0.000 0.500
0.526 0.916 0.000
0.916 0.526 0.000
0.261 0.578 0.000
0.422 0.422 0.683
0.578 0.261 0.000
0.739 0.739 0.317
```

## Properties
- Size of the total moment: 0.0000 μB/atom
- SG: I-42m, No. 121
- E_tot: -97.76 eV per formula unit
- Density: 7.734 g/cm³

---

[14]
Compound: TaV8Fe2
Source: Alexandria
Functional: PBE-GGA
Structure: relaxed

POSCAR file:
```
TaV8Fe2
1.0
3.333 -5.407 0.000
3.333 5.407 0.000
-1.808 0.000 4.279
Ta V Fe
1 8 2
Direct
0.000 0.000 0.000
0.084 0.324 0.588
0.241 0.759 0.000
0.324 0.084 0.588
0.400 0.400 0.173
0.600 0.600 0.827
0.676 0.916 0.412
0.759 0.241 0.000
0.916 0.676 0.412
0.307 0.693 0.500
0.693 0.307 0.500
```

## Properties
- Size of the total moment: 0.0000 μB/atom
- SG: C2/m, No. 12
- E_tot: -98.94 eV per formula unit
- Density: 7.539 g/cm³

---

[15]
Compound: TaVFe
Source: Alexandria
Functional: PBE-GGA
Structure: relaxed

POSCAR file:
```
TaVFe
1.0
-2.444 2.501 3.422
2.444 -2.501 3.422
2.444 2.501 -3.422
Ta V Fe
2 2 2
Direct
0.377 0.127 0.250
0.623 0.873 0.750
0.000 0.000 0.500
0.000 0.500 0.000
0.000 0.500 0.500
0.500 0.500 0.000
```

## Properties
- Size of the total moment: 0.2344 μB/atom
- SG: Imma, No. 74
- E_tot: -30.07 eV per formula unit
- Energy relative to the lowest polymorph listed for this composition: 0 meV per atom
- Density: 11.422 g/cm³

---

[16]
Compound: TaVFe
Source: Alexandria
Functional: PBE-GGA
Structure: relaxed

POSCAR file:
```
TaVFe
1.0
4.206 0.000 0.000
-2.103 3.642 0.000
0.000 0.000 2.741
Ta V Fe
1 1 1
Direct
0.000 0.000 0.000
0.667 0.333 0.359
0.333 0.667 0.666
```

## Properties
- Size of the total moment: 0.0001 μB/atom
- SG: P3m1, No. 156
- E_tot: -29.23 eV per formula unit
- Energy relative to the lowest polymorph listed for this composition: 281 meV per atom
- Density: 11.378 g/cm³

---

[17]
Compound: TaVFe
Source: Alexandria
Functional: PBE-GGA
Structure: relaxed

POSCAR file:
```
TaVFe
1.0
1.843 -4.162 0.000
1.843 4.162 0.000
0.000 0.000 5.643
Ta V Fe
2 2 2
Direct
0.000 0.000 0.000
0.000 0.000 0.500
0.307 0.693 0.750
0.693 0.307 0.250
0.341 0.659 0.250
0.659 0.341 0.750
```

## Properties
- Size of the total moment: 0.0000 μB/atom
- SG: Cmcm, No. 63
- E_tot: -29.12 eV per formula unit
- Energy relative to the lowest polymorph listed for this composition: 319 meV per atom
- Density: 11.042 g/cm³

---

[18]
Compound: Ta2V3Fe
Source: Alexandria
Functional: PBE-GGA
Structure: relaxed

POSCAR file:
```
Ta2V3Fe
1.0
2.500 1.443 4.027
-2.500 1.443 4.027
0.000 -2.887 4.027
Ta V Fe
2 3 1
Direct
0.126 0.126 0.126
0.874 0.874 0.874
0.000 0.500 0.500
0.500 0.000 0.500
0.500 0.500 0.000
0.500 0.500 0.500
```

## Properties
- Size of the total moment: 0.0000 μB/atom
- SG: R-3m, No. 166
- E_tot: -60.74 eV per formula unit
- Density: 10.868 g/cm³

---

[19]
Compound: Ta4V2Fe
Source: Alexandria
Functional: PBE-GGA
Structure: relaxed

POSCAR file:
```
Ta4V2Fe
1.0
-2.264 2.264 6.348
2.264 -2.264 6.348
2.264 2.264 -6.348
Ta V Fe
4 2 1
Direct
0.000 0.500 0.500
0.189 0.189 0.000
0.500 0.000 0.500
0.811 0.811 0.000
0.383 0.383 0.000
0.617 0.617 0.000
0.000 0.000 0.000
```

## Properties
- Size of the total moment: 0.0000 μB/atom
- SG: I4/mmm, No. 139
- E_tot: -67.21 eV per formula unit
- Density: 11.252 g/cm³

---

[20]
Compound: TaV4Fe
Source: Alexandria
Functional: PBE-GGA
Structure: relaxed

POSCAR file:
```
TaV4Fe
1.0
4.543 -1.317 0.000
4.543 1.317 0.000
-3.596 0.000 7.197
Ta V Fe
1 4 1
Direct
0.000 0.000 0.000
0.148 0.148 0.363
0.333 0.333 0.184
0.667 0.667 0.816
0.852 0.852 0.637
0.500 0.500 0.500
```

## Properties
- Size of the total moment: 0.0000 μB/atom
- SG: C2/m, No. 12
- E_tot: -54.87 eV per formula unit
- Density: 8.494 g/cm³